Entry 1:
Here is crystalline ReSeCl2 at its relaxed geometry from Alexandria via LeMat-Bulk. Energies are from PBE.

a = 6.241 Å, b = 3.212 Å, c = 6.760 Å
α = 90.00°, β = 116.66°, γ = 90.00°
Fractional coordinates of all 4 atoms:
Re1 0.000 0.000 0.000
Se1 0.738 0.500 0.733
Cl1 0.038 0.000 0.350
Cl2 0.307 0.500 0.059

Values from the calculation:
The offset from the most stable computed form comes out at 2.5 kJ per mole of atoms. Its space group is Pm, No. 6. For the uncorrected formation energy, the calculation gives -65 kJ/mol of formula units.

Entry 2:
Here is crystalline TmSc2Ga2 at its relaxed geometry from Alexandria via LeMat-Bulk. Energies are from PBE.

a = 5.182 Å, b = 3.595 Å, c = 12.210 Å
α = 90.00°, β = 96.20°, γ = 90.00°
Fractional coordinates of all 10 atoms:
Tm1 0.182 0.250 0.237
Tm2 0.818 0.750 0.763
Sc1 0.242 0.750 0.469
Sc2 0.345 0.250 0.892
Sc3 0.655 0.750 0.108
Sc4 0.758 0.250 0.531
Ga1 0.154 0.750 0.040
Ga2 0.292 0.250 0.661
Ga3 0.708 0.750 0.339
Ga4 0.846 0.250 0.960

Values from the calculation:
The offset from the most stable computed form comes out at 10.3 kJ per mole of atoms. Its space group is P2_1/m, No. 11.